# Li6Mn5CoO12, relaxed, DFT PBE with a Hubbard U
# * volume: 436.7 Å³ per cell
# * total magnetization: 1.03 μB/f.u.
# * final energy: -0.22956 hartree per atom
# * relative energy among the computed polymorphs: 0.186 eV/atom
data_Li6Mn5CoO12
_cell_length_a 5.016
_cell_length_b 5.020
_cell_length_c 19.823
_cell_angle_alpha 85.84
_cell_angle_beta 87.17
_cell_angle_gamma 61.31
_symmetry_space_group_name_H-M 'P 1'
_symmetry_Int_Tables_number 1
_symmetry_space_group_name_Hall 'P 1'
loop_
_atom_site_label
_atom_site_type_symbol
_atom_site_fract_x
_atom_site_fract_y
_atom_site_fract_z
_atom_site_occupancy
Li1 Li 0.000 0.000 0.000 1
Li2 Li 0.002 0.493 0.497 1
Li3 Li 0.030 0.877 0.255 1
Li4 Li 0.064 0.357 0.750 1
Li5 Li 0.335 0.316 0.000 1
Li6 Li 0.344 0.808 0.497 1
Li7 Li 0.367 0.187 0.255 1
Li8 Li 0.375 0.688 0.752 1
Li9 Li 0.652 0.674 0.999 1
Li10 Li 0.676 0.142 0.494 1
Li11 Li 0.702 0.533 0.258 1
Li12 Li 0.715 0.028 0.755 1
Mn1 Mn 0.014 0.933 0.128 1
Mn2 Mn 0.021 0.174 0.376 1
Mn3 Mn 0.026 0.422 0.624 1
Mn4 Mn 0.028 0.681 0.876 1
Mn5 Mn 0.345 0.265 0.128 1
Mn6 Mn 0.352 0.506 0.376 1
Mn7 Mn 0.357 0.753 0.624 1
Mn8 Mn 0.361 0.015 0.876 1
Mn9 Mn 0.687 0.592 0.128 1
Mn10 Mn 0.697 0.082 0.625 1
Co1 Co 0.687 0.840 0.376 1
Co2 Co 0.690 0.343 0.876 1
O1 O 0.010 0.829 0.430 1
O2 O 0.011 0.617 0.072 1
O3 O 0.016 0.529 0.323 1
O4 O 0.021 0.107 0.569 1
O5 O 0.035 0.224 0.188 1
O6 O 0.040 0.328 0.930 1
O7 O 0.047 0.712 0.684 1
O8 O 0.058 0.004 0.819 1
O9 O 0.322 0.975 0.070 1
O10 O 0.332 0.693 0.933 1
O11 O 0.334 0.464 0.566 1
O12 O 0.350 0.576 0.182 1
O13 O 0.357 0.152 0.430 1
O14 O 0.362 0.065 0.679 1
O15 O 0.363 0.851 0.323 1
O16 O 0.374 0.327 0.816 1
O17 O 0.655 0.006 0.936 1
O18 O 0.679 0.287 0.072 1
O19 O 0.681 0.498 0.430 1
O20 O 0.685 0.911 0.182 1
O21 O 0.690 0.775 0.569 1
O22 O 0.692 0.182 0.322 1
O23 O 0.692 0.712 0.822 1
O24 O 0.698 0.400 0.680 1